Run i
# Pm2SnSe4

A geometry-optimized Pm2SnSe4 structure (PBE-GGA, Alexandria).

Unit cell a=7.2329 b=7.2329 c=14.3717 alpha=90.00 beta=90.00 gamma=146.38
Element x y z (fractional)
Pm  0.1363  0.8637  0.5679
Pm  0.1363  0.8637  0.9321
Pm  0.8637  0.1363  0.0679
Pm  0.8637  0.1363  0.4321
Sn  0.3949  0.6051  0.7500
Sn  0.6051  0.3949  0.2500
Se  0.0370  0.9630  0.7500
Se  0.2282  0.7718  0.1176
Se  0.2282  0.7718  0.3824
Se  0.5000  0.5000  0.0000
Se  0.5000  0.5000  0.5000
Se  0.7718  0.2282  0.6176
Se  0.7718  0.2282  0.8824
Se  0.9630  0.0370  0.2500

Calculated values
ρ: 5.78 g cm⁻³
Crystal system: orthorhombic

Run ii
# Pm2SnSe4

A geometry-optimized Pm2SnSe4 structure (PBE-GGA, Alexandria).

Unit cell a=7.5001 b=12.2443 c=4.3224 alpha=90.00 beta=90.00 gamma=90.00
Element x y z (fractional)
Pm  0.0846  0.1753  0.0000
Pm  0.4154  0.6753  0.0000
Pm  0.5846  0.3247  0.0000
Pm  0.9154  0.8247  0.0000
Sn  0.0000  0.5000  0.5000
Sn  0.5000  0.0000  0.5000
Se  0.1501  0.7215  0.5000
Se  0.2379  0.9588  0.0000
Se  0.2621  0.4588  0.0000
Se  0.3499  0.2215  0.5000
Se  0.6501  0.7785  0.5000
Se  0.7379  0.5412  0.0000
Se  0.7621  0.0412  0.0000
Se  0.8499  0.2785  0.5000

Calculated values
ρ: 6.06 g cm⁻³
Crystal system: orthorhombic

Energies relative to the most stable structure, in meV per atom: run i 0; run ii 21.

Run i
# Pm3SnSe2

A geometry-optimized Pm3SnSe2 structure (PBE-GGA, Alexandria).

Unit cell a=7.4638 b=7.4638 c=4.3119 alpha=106.78 beta=106.78 gamma=48.29
Element x y z (fractional)
Pm  0.0000  0.0000  0.0000
Pm  0.3280  0.3280  0.3264
Pm  0.6720  0.6720  0.6736
Sn  0.5000  0.5000  0.0000
Se  0.1646  0.1646  0.6614
Se  0.8354  0.8354  0.3386

Calculated values
ρ: 6.95 g cm⁻³
Crystal system: monoclinic

Run ii
# Pm3SnSe2

A geometry-optimized Pm3SnSe2 structure (PBE-GGA, Alexandria).

Unit cell a=7.4694 b=7.4694 c=7.4653 alpha=99.62 beta=99.62 gamma=120.02
Element x y z (fractional)
Pm  0.0000  0.5000  0.0000
Pm  0.1547  0.3266  0.4970
Pm  0.3266  0.1547  0.9970
Pm  0.5000  0.0000  0.5000
Pm  0.6734  0.8453  0.0030
Pm  0.8453  0.6734  0.5030
Sn  0.4187  0.5813  0.2500
Sn  0.5813  0.4187  0.7500
Se  0.0837  0.9163  0.2500
Se  0.2526  0.7474  0.7500
Se  0.7474  0.2526  0.2500
Se  0.9163  0.0837  0.7500

Calculated values
ρ: 6.95 g cm⁻³
Crystal system: monoclinic

Energies relative to the most stable structure, in meV per atom: run i 0; run ii 9.